# 1
A relaxed Sr2PaVS6 crystal. Source: the Alexandria database, functional PBE.

Geometry as CIF:
```
data_Sr2PaVS6
_chemical_formula_sum 'Sr4 Pa2 V2 S12'
_cell_length_a 6.793
_cell_length_b 7.110
_cell_length_c 11.840
_cell_angle_alpha 90.00
_cell_angle_beta 124.18
_cell_angle_gamma 90.00
_symmetry_space_group_name_H-M 'P 1'
_symmetry_Int_Tables_number 1
loop_
_symmetry_equiv_pos_as_xyz
'x,y,z'
loop_
_atom_site_label
_atom_site_type_symbol
_atom_site_fract_x
_atom_site_fract_y
_atom_site_fract_z
Sr1 Sr 0.225 0.071 0.247
Sr2 Sr 0.225 0.429 0.747
Sr3 Sr 0.775 0.571 0.253
Sr4 Sr 0.775 0.929 0.753
Pa1 Pa 0.500 0.000 0.000
Pa2 Pa 0.500 0.500 0.500
V1 V 0.000 0.000 0.500
V2 V 0.000 0.500 0.000
S1 S 0.144 0.211 0.955
S2 S 0.144 0.289 0.455
S3 S 0.247 0.693 0.956
S4 S 0.247 0.807 0.456
S5 S 0.325 0.016 0.739
S6 S 0.325 0.484 0.239
S7 S 0.675 0.516 0.761
S8 S 0.675 0.984 0.261
S9 S 0.753 0.193 0.544
S10 S 0.753 0.307 0.044
S11 S 0.856 0.711 0.545
S12 S 0.856 0.789 0.045
```

DOS at the Fermi energy   10.77 states/eV/cell
Density   4.56 g/cm3
Formation energy (no corrections)   -1624.1 meV per atom
E   -6.30 eV/atom

# 2
A relaxed Tm3Tc2Ge4 crystal. Source: the Alexandria database, functional PBE.

Geometry as CIF:
```
data_Tm3Tc2Ge4
_chemical_formula_sum 'Tm3 Tc2 Ge4'
_cell_length_a 5.776
_cell_length_b 5.776
_cell_length_c 8.177
_cell_angle_alpha 109.37
_cell_angle_beta 109.37
_cell_angle_gamma 44.26
_symmetry_space_group_name_H-M 'P 1'
_symmetry_Int_Tables_number 1
loop_
_symmetry_equiv_pos_as_xyz
'x,y,z'
loop_
_atom_site_label
_atom_site_type_symbol
_atom_site_fract_x
_atom_site_fract_y
_atom_site_fract_z
Tm1 Tm 0.000 0.000 0.000
Tm2 Tm 0.371 0.371 0.304
Tm3 Tm 0.629 0.629 0.696
Tc1 Tc 0.324 0.324 0.646
Tc2 Tc 0.676 0.676 0.354
Ge1 Ge 0.091 0.091 0.409
Ge2 Ge 0.292 0.292 0.926
Ge3 Ge 0.708 0.708 0.074
Ge4 Ge 0.909 0.909 0.591
```

DOS at the Fermi energy   5.02 states/eV/cell
Density   9.28 g/cm3
E   -6.47 eV/atom
Formation enthalpy at 0 K   -0.63 eV per atom

# 3
A relaxed CeTl2Cl6 crystal. Source: the Alexandria database, functional PBE.

Geometry as CIF:
```
data_CeTl2Cl6
_chemical_formula_sum 'Ce2 Tl4 Cl12'
_cell_length_a 7.442
_cell_length_b 8.295
_cell_length_c 12.239
_cell_angle_alpha 90.00
_cell_angle_beta 121.98
_cell_angle_gamma 90.00
_symmetry_space_group_name_H-M 'P 1'
_symmetry_Int_Tables_number 1
loop_
_symmetry_equiv_pos_as_xyz
'x,y,z'
loop_
_atom_site_label
_atom_site_type_symbol
_atom_site_fract_x
_atom_site_fract_y
_atom_site_fract_z
Ce1 Ce 0.000 0.000 0.000
Ce2 Ce 0.000 0.500 0.500
Tl1 Tl 0.295 0.087 0.759
Tl2 Tl 0.295 0.413 0.259
Tl3 Tl 0.705 0.587 0.741
Tl4 Tl 0.705 0.913 0.241
Cl1 Cl 0.108 0.051 0.240
Cl2 Cl 0.108 0.449 0.740
Cl3 Cl 0.225 0.733 0.070
Cl4 Cl 0.225 0.767 0.570
Cl5 Cl 0.339 0.163 0.044
Cl6 Cl 0.339 0.337 0.544
Cl7 Cl 0.661 0.663 0.456
Cl8 Cl 0.661 0.837 0.956
Cl9 Cl 0.775 0.233 0.430
Cl10 Cl 0.775 0.267 0.930
Cl11 Cl 0.892 0.551 0.260
Cl12 Cl 0.892 0.949 0.760
```

Density   3.95 g/cm3
Formation energy (no corrections)   -1582.5 meV per atom
E   -4.00 eV/atom

# 4
A relaxed LiPr4Al2Zn crystal. Source: the Alexandria database, functional PBE.

Geometry as CIF:
```
data_LiPr4Al2Zn
_chemical_formula_sum 'Li1 Pr4 Al2 Zn1'
_cell_length_a 9.217
_cell_length_b 9.217
_cell_length_c 9.217
_cell_angle_alpha 33.59
_cell_angle_beta 33.59
_cell_angle_gamma 33.59
_symmetry_space_group_name_H-M 'P 1'
_symmetry_Int_Tables_number 1
loop_
_symmetry_equiv_pos_as_xyz
'x,y,z'
loop_
_atom_site_label
_atom_site_type_symbol
_atom_site_fract_x
_atom_site_fract_y
_atom_site_fract_z
Li1 Li 0.000 0.000 0.000
Pr1 Pr 0.128 0.128 0.128
Pr2 Pr 0.378 0.378 0.378
Pr3 Pr 0.622 0.622 0.622
Pr4 Pr 0.872 0.872 0.872
Al1 Al 0.253 0.253 0.253
Al2 Al 0.747 0.747 0.747
Zn1 Zn 0.500 0.500 0.500
```

DOS at the Fermi energy   7.04 states/eV/cell
Density   5.37 g/cm3
E   -3.99 eV/atom
Formation enthalpy at 0 K   -0.27 eV per atom

# 5
A relaxed KBeCu crystal. Source: the Alexandria database, functional PBE.

Geometry as CIF:
```
data_KBeCu
_chemical_formula_sum 'K1 Be1 Cu1'
_cell_length_a 3.848
_cell_length_b 3.848
_cell_length_c 5.426
_cell_angle_alpha 90.00
_cell_angle_beta 90.00
_cell_angle_gamma 120.00
_symmetry_space_group_name_H-M 'P 1'
_symmetry_Int_Tables_number 1
loop_
_symmetry_equiv_pos_as_xyz
'x,y,z'
loop_
_atom_site_label
_atom_site_type_symbol
_atom_site_fract_x
_atom_site_fract_y
_atom_site_fract_z
K1 K 0.000 0.000 0.000
Be1 Be 0.333 0.667 0.500
Cu1 Cu 0.667 0.333 0.500
```

DOS at the Fermi energy   1.25 states/eV/cell
Density   2.66 g/cm3
E   -2.41 eV/atom
Formation enthalpy at 0 K   0.57 eV per atom
Relative energy among the computed polymorphs   125.7 meV per atom

# 6
A relaxed Re3PbS crystal. Source: the Alexandria database, functional PBE.

Geometry as CIF:
```
data_Re3PbS
_chemical_formula_sum 'Re3 Pb1 S1'
_cell_length_a 4.471
_cell_length_b 4.471
_cell_length_c 4.471
_cell_angle_alpha 90.00
_cell_angle_beta 90.00
_cell_angle_gamma 90.00
_symmetry_space_group_name_H-M 'P 1'
_symmetry_Int_Tables_number 1
loop_
_symmetry_equiv_pos_as_xyz
'x,y,z'
loop_
_atom_site_label
_atom_site_type_symbol
_atom_site_fract_x
_atom_site_fract_y
_atom_site_fract_z
Re1 Re 0.000 0.000 0.500
Re2 Re 0.000 0.500 0.000
Re3 Re 0.500 0.000 0.000
Pb1 Pb 0.500 0.500 0.500
S1 S 0.000 0.000 0.000
```

DOS at the Fermi energy   5.24 states/eV/cell
Density   14.83 g/cm3
Formation energy (no corrections)   1180.9 meV per atom
E   -7.86 eV/atom
Relative energy among the computed polymorphs   0.0 meV per atom

# 7
A relaxed AcCe2Co crystal. Source: the Alexandria database, functional PBE.

Geometry as CIF:
```
data_AcCe2Co
_chemical_formula_sum 'Ac1 Ce2 Co1'
_cell_length_a 9.389
_cell_length_b 9.389
_cell_length_c 9.389
_cell_angle_alpha 23.81
_cell_angle_beta 23.81
_cell_angle_gamma 23.81
_symmetry_space_group_name_H-M 'P 1'
_symmetry_Int_Tables_number 1
loop_
_symmetry_equiv_pos_as_xyz
'x,y,z'
loop_
_atom_site_label
_atom_site_type_symbol
_atom_site_fract_x
_atom_site_fract_y
_atom_site_fract_z
Ac1 Ac 0.000 0.000 0.000
Ce1 Ce 0.554 0.554 0.554
Ce2 Ce 0.778 0.778 0.778
Co1 Co 0.165 0.165 0.165
```

DOS at the Fermi energy   9.73 states/eV/cell
Density   7.93 g/cm3
E   -5.79 eV/atom
Formation enthalpy at 0 K   -0.02 eV per atom
Relative energy among the computed polymorphs   52.1 meV per atom

# 8
A relaxed GaHRh3 crystal. Source: the Alexandria database, functional PBE.

Geometry as CIF:
```
data_GaHRh3
_chemical_formula_sum 'Ga2 H2 Rh6'
_cell_length_a 5.344
_cell_length_b 5.344
_cell_length_c 4.169
_cell_angle_alpha 90.00
_cell_angle_beta 90.00
_cell_angle_gamma 90.00
_symmetry_space_group_name_H-M 'P 1'
_symmetry_Int_Tables_number 1
loop_
_symmetry_equiv_pos_as_xyz
'x,y,z'
loop_
_atom_site_label
_atom_site_type_symbol
_atom_site_fract_x
_atom_site_fract_y
_atom_site_fract_z
Ga1 Ga 0.000 0.500 0.000
Ga2 Ga 0.500 0.000 0.000
H1 H 0.000 0.000 0.545
H2 H 0.500 0.500 0.545
Rh1 Rh 0.000 0.000 0.005
Rh2 Rh 0.194 0.306 0.499
Rh3 Rh 0.306 0.806 0.499
Rh4 Rh 0.500 0.500 0.005
Rh5 Rh 0.694 0.194 0.499
Rh6 Rh 0.806 0.694 0.499
```

DOS at the Fermi energy   7.45 states/eV/cell
Density   10.58 g/cm3
E   -5.98 eV/atom
Relative energy among the computed polymorphs   0.0 meV per atom

> What is the density in the second record?

9.28 g/cm3

What did the fourth record say?
A relaxed LiPr4Al2Zn crystal. Source: the Alexandria database, functional PBE.

Geometry as CIF:
```
data_LiPr4Al2Zn
_chemical_formula_sum 'Li1 Pr4 Al2 Zn1'
_cell_length_a 9.217
_cell_length_b 9.217
_cell_length_c 9.217
_cell_angle_alpha 33.59
_cell_angle_beta 33.59
_cell_angle_gamma 33.59
_symmetry_space_group_name_H-M 'P 1'
_symmetry_Int_Tables_number 1
loop_
_symmetry_equiv_pos_as_xyz
'x,y,z'
loop_
_atom_site_label
_atom_site_type_symbol
_atom_site_fract_x
_atom_site_fract_y
_atom_site_fract_z
Li1 Li 0.000 0.000 0.000
Pr1 Pr 0.128 0.128 0.128
Pr2 Pr 0.378 0.378 0.378
Pr3 Pr 0.622 0.622 0.622
Pr4 Pr 0.872 0.872 0.872
Al1 Al 0.253 0.253 0.253
Al2 Al 0.747 0.747 0.747
Zn1 Zn 0.500 0.500 0.500
```

DOS at the Fermi energy   7.04 states/eV/cell
Density   5.37 g/cm3
E   -3.99 eV/atom
Formation enthalpy at 0 K   -0.27 eV per atom

> What is the density in the third record?

3.95 g/cm3